VASP calculation (PBEsol) on a relaxed structure of Ni2BiC.

Geometry as POSCAR:
```
Ni2BiC
1.0
0.0000 2.9719 2.9719
2.9719 0.0000 2.9719
2.9719 2.9719 0.0000
Ni Bi C
2 1 1
direct
0.2500 0.2500 0.2500
0.7500 0.7500 0.7500
0.0000 0.0000 0.0000
0.5000 0.5000 0.5000
```

Properties
Energy of formation from the pure elements: 1.292 eV per atom
D(E_F): 0.80 states/eV per atom